[1]
Here is Ce4Sn3Hg after structural relaxation from the Alexandria database. Energies are from PBE.

Geometry as POSCAR:
```
Ce4Sn3Hg
1.0
-2.4750 2.4750 8.9702
2.4750 -2.4750 8.9702
2.4750 2.4750 -8.9702
Ce Sn Hg
4 3 1
Direct
0.1248 0.6248 0.5000
0.3752 0.8752 0.5000
0.6248 0.1248 0.5000
0.8752 0.3752 0.5000
0.0000 0.0000 0.0000
0.2503 0.2503 0.0000
0.7497 0.7497 0.0000
0.5000 0.5000 0.0000
```

Output
E: -0.1849 Ha/atom
Energy above the most stable polymorph in this dataset: 0 meV per atom
Size of the total moment: 4.3 μB/cell
Formation energy from the elements: -0.5250 eV/atom

***

[2]
Here is Ce6SnHg5 after structural relaxation from the Alexandria database. Energies are from PBE.

Geometry as POSCAR:
```
Ce6SnHg5
1.0
-2.7103 3.8228 8.1607
2.7103 -3.8228 8.1607
2.7103 3.8228 -8.1607
Ce Sn Hg
6 1 5
Direct
0.0824 0.3354 0.7471
0.2454 0.0000 0.2454
0.4117 0.6646 0.7471
0.5883 0.3354 0.2529
0.7546 0.0000 0.7546
0.9176 0.6646 0.2529
0.0000 0.5000 0.5000
0.1737 0.1737 0.0000
0.3336 0.8336 0.5000
0.5000 0.5000 0.0000
0.6664 0.1664 0.5000
0.8263 0.8263 0.0000
```

Output
E: -0.1384 Ha/atom
Energy above the most stable polymorph in this dataset: 13 meV per atom
Size of the total moment: 8.4 μB/cell
Formation energy from the elements: -0.3386 eV/atom